Run one
{
  "formula": "PbCl3O",
  "functional": "PBE-GGA",
  "state": "optimized geometry",
  "dos_at_fermi_per_ev_atom": 2.952,
  "m_tot_mub_per_atom": 0.431,
  "lattice": [[5.413, 0.000, 0.000], [0.000, 5.413, 0.000], [0.000, 0.000, 5.413]],
  "species": ["Pb", "O", "Cl", "Cl", "Cl"],
  "fractional_positions": [[0.000, 0.000, 0.000], [0.500, 0.500, 0.500], [0.000, 0.500, 0.000], [0.000, 0.000, 0.500], [0.500, 0.000, 0.000]]
}

=====

Run two
{
  "formula": "PbCl3O",
  "functional": "PBE-GGA",
  "state": "optimized geometry",
  "dos_at_fermi_per_ev_atom": 0.291,
  "m_tot_mub_per_atom": 0.000,
  "lattice": [[-3.495, 2.392, 1.967], [-2.330, -3.985, 0.705], [2.040, -0.454, 4.176]],
  "species": ["Pb", "O", "Cl", "Cl", "Cl"],
  "fractional_positions": [[0.500, 0.500, 0.500], [0.000, 0.000, 0.000], [0.000, 0.500, 0.000], [0.000, 0.000, 0.500], [0.500, 0.000, 0.000]]
}

=====

Tell me which of them is the most stable. Sure, it is run two.

=====

Run one
{
  "formula": "Pb2ClO2",
  "functional": "PBE-GGA",
  "state": "optimized geometry",
  "dos_at_fermi_per_ev_atom": 0.439,
  "m_tot_mub_per_atom": 0.000,
  "lattice": [[4.692, 0.000, 0.000], [0.000, 4.692, 0.000], [2.346, 2.346, 5.047]],
  "species": ["Pb", "Pb", "O", "O", "Cl"],
  "fractional_positions": [[0.750, 0.250, 0.500], [0.250, 0.750, 0.500], [0.311, 0.311, 0.377], [0.689, 0.689, 0.623], [0.000, 0.000, 0.000]]
}

=====

Run two
{
  "formula": "Pb2ClO2",
  "functional": "PBE-GGA",
  "state": "optimized geometry",
  "dos_at_fermi_per_ev_atom": 0.000,
  "m_tot_mub_per_atom": 0.200,
  "lattice": [[-2.079, -6.023, 4.185], [4.827, 2.152, 5.494], [-2.398, 1.802, 1.402]],
  "species": ["Pb", "Pb", "Pb", "Pb", "O", "O", "O", "O", "Cl", "Cl"],
  "fractional_positions": [[0.151, 0.651, 0.500], [0.651, 0.849, 0.500], [0.849, 0.349, 0.500], [0.349, 0.151, 0.500], [0.399, 0.899, 0.000], [0.899, 0.601, 0.000], [0.601, 0.101, 0.000], [0.101, 0.399, 0.000], [0.000, 0.000, 0.000], [0.500, 0.500, 0.000]]
}

=====

Tell me which of them is the most stable. Sure, it is run one.

=====

Run one
{
  "formula": "RePbClO4",
  "functional": "PBE-GGA",
  "state": "optimized geometry",
  "dos_at_fermi_per_ev_atom": 0.000,
  "m_tot_mub_per_atom": 0.000,
  "lattice": [[4.873, 0.000, 0.000], [0.000, 5.882, 0.000], [0.000, 0.000, 9.466]],
  "species": ["Re", "Re", "Pb", "Pb", "Cl", "Cl", "O", "O", "O", "O", "O", "O", "O", "O"],
  "fractional_positions": [[0.231, 0.000, 0.125], [0.731, 0.500, 0.875], [0.786, 0.500, 0.329], [0.286, 0.000, 0.671], [0.705, 0.000, 0.471], [0.205, 0.500, 0.529], [0.617, 0.254, 0.787], [0.117, 0.754, 0.213], [0.626, 0.500, 0.052], [0.587, 0.000, 0.129], [0.617, 0.746, 0.787], [0.117, 0.246, 0.213], [0.126, 0.000, 0.948], [0.087, 0.500, 0.871]]
}

=====

Run two
{
  "formula": "RePbClO4",
  "functional": "PBE-GGA",
  "state": "optimized geometry",
  "dos_at_fermi_per_ev_atom": 0.000,
  "m_tot_mub_per_atom": 0.000,
  "lattice": [[6.865, -0.013, 0.017], [2.262, 6.482, 0.017], [1.868, 1.324, 7.202]],
  "species": ["Re", "Re", "Pb", "Pb", "Cl", "Cl", "O", "O", "O", "O", "O", "O", "O", "O"],
  "fractional_positions": [[0.639, 0.639, 0.734], [0.361, 0.361, 0.266], [0.196, 0.196, 0.873], [0.804, 0.804, 0.127], [0.015, 0.015, 0.231], [0.985, 0.985, 0.769], [0.294, 0.294, 0.508], [0.706, 0.706, 0.492], [0.133, 0.491, 0.169], [0.523, 0.523, 0.212], [0.509, 0.867, 0.831], [0.491, 0.133, 0.169], [0.477, 0.477, 0.788], [0.867, 0.509, 0.831]]
}

=====

Tell me which of them is the most stable. Sure, it is run two.

=====

Run one
{
  "formula": "PbS2ClO",
  "functional": "PBE-GGA",
  "state": "optimized geometry",
  "dos_at_fermi_per_ev_atom": 1.517,
  "m_tot_mub_per_atom": 0.778,
  "lattice": [[5.418, 0.000, 0.000], [0.000, 5.418, 0.000], [0.000, 0.000, 5.328]],
  "species": ["Pb", "S", "S", "O", "Cl"],
  "fractional_positions": [[0.000, 0.000, 0.000], [0.000, 0.500, 0.000], [0.500, 0.000, 0.000], [0.500, 0.500, 0.500], [0.000, 0.000, 0.500]]
}

=====

Run two
{
  "formula": "PbS2ClO",
  "functional": "PBE-GGA",
  "state": "optimized geometry",
  "dos_at_fermi_per_ev_atom": 0.746,
  "m_tot_mub_per_atom": 0.000,
  "lattice": [[4.181, 0.000, 0.000], [0.000, 4.181, 0.000], [0.000, 0.000, 6.816]],
  "species": ["Pb", "S", "S", "O", "Cl"],
  "fractional_positions": [[0.500, 0.500, 0.500], [0.000, 0.500, 0.000], [0.500, 0.000, 0.000], [0.000, 0.000, 0.000], [0.000, 0.000, 0.500]]
}

=====

Tell me which of them is the most stable. Sure, it is run two.

=====

Run one
{
  "formula": "Pd2ClO",
  "functional": "PBE-GGA",
  "state": "optimized geometry",
  "dos_at_fermi_per_ev_atom": 1.304,
  "m_tot_mub_per_atom": 0.000,
  "lattice": [[-1.271, 2.444, 4.090], [-4.397, 1.030, -1.982], [-5.105, -3.404, 3.421]],
  "species": ["O", "O", "Pd", "Pd", "Pd", "Pd", "Cl", "Cl"],
  "fractional_positions": [[0.500, 0.500, 0.000], [0.250, 0.750, 0.500], [0.488, 0.125, 0.250], [0.262, 0.625, 0.250], [0.375, 0.512, 0.750], [0.875, 0.738, 0.750], [0.000, 0.000, 0.000], [0.750, 0.250, 0.500]]
}

=====

Run two
{
  "formula": "Pd2ClO",
  "functional": "PBE-GGA",
  "state": "optimized geometry",
  "dos_at_fermi_per_ev_atom": 1.554,
  "m_tot_mub_per_atom": 0.000,
  "lattice": [[0.000, 3.013, 3.013], [3.013, 0.000, 3.013], [3.013, 3.013, 0.000]],
  "species": ["O", "Pd", "Pd", "Cl"],
  "fractional_positions": [[0.000, 0.000, 0.000], [0.250, 0.250, 0.250], [0.750, 0.750, 0.750], [0.500, 0.500, 0.500]]
}

=====

Tell me which of them is the most stable. Sure, it is run one.

=====

Run one
{
  "formula": "Pm2ClO",
  "functional": "PBE-GGA",
  "state": "optimized geometry",
  "dos_at_fermi_per_ev_atom": 0.723,
  "m_tot_mub_per_atom": 0.000,
  "lattice": [[3.599, 0.000, 0.000], [1.800, 3.117, 0.000], [1.800, 1.039, 7.071]],
  "species": ["Cl", "O", "Pm", "Pm"],
  "fractional_positions": [[0.500, 0.500, 0.500], [0.000, 0.000, 0.000], [0.269, 0.269, 0.194], [0.731, 0.731, 0.806]]
}

=====

Run two
{
  "formula": "Pm2ClO",
  "functional": "PBE-GGA",
  "state": "optimized geometry",
  "dos_at_fermi_per_ev_atom": 0.390,
  "m_tot_mub_per_atom": 0.148,
  "lattice": [[3.727, 0.000, -0.001], [0.000, 5.601, 0.000], [0.003, 0.000, 9.455]],
  "species": ["Pm", "Pm", "Pm", "Pm", "Cl", "Cl", "O", "O"],
  "fractional_positions": [[0.701, 0.582, 0.309], [0.701, 0.570, 0.683], [0.201, 0.070, 0.533], [0.201, 0.082, 0.907], [0.201, 0.976, 0.210], [0.701, 0.476, 0.006], [0.201, 0.805, 0.742], [0.701, 0.305, 0.473]]
}

=====

Tell me which of them is the most stable. Sure, it is run two.